(1)
Density functional theory data (PBE) for an optimized crystal structure of ZnAg8Sn2.

a b c (Å): 4.1834 5.5981 9.8760
angles (deg): 78.48 77.96 89.76
Fractional coordinates of all 11 atoms:
Zn 0.0000 0.0000 0.0000
Ag 0.0780 0.4540 0.8457
Ag 0.1329 0.9797 0.7353
Ag 0.2843 0.1686 0.4299
Ag 0.4628 0.2449 0.0724
Ag 0.5372 0.7551 0.9276
Ag 0.7157 0.8314 0.5701
Ag 0.8671 0.0203 0.2647
Ag 0.9220 0.5460 0.1543
Sn 0.3219 0.6726 0.3597
Sn 0.6781 0.3274 0.6403

Results
- Symmetry: P-1
- Energy of formation from the pure elements: 90 meV/atom
- Energy relative to the lowest polymorph listed for this composition: 0.0000 eV per atom
- Total DFT energy (no corrections): -2.83 eV/atom



(2)
Density functional theory data (PBE) for an optimized crystal structure of ZnCr3Hg.

a b c (Å): 5.1335 5.1335 5.1335
angles (deg): 90.00 90.00 90.00
Fractional coordinates of all 5 atoms:
Zn 0.0000 0.0000 0.0000
Cr 0.0000 0.5000 0.5000
Cr 0.5000 0.0000 0.5000
Cr 0.5000 0.5000 0.0000
Hg 0.5000 0.5000 0.5000

Results
- Symmetry: Pm-3m
- Energy of formation from the pure elements: 1514 meV/atom
- Energy relative to the lowest polymorph listed for this composition: 0.0000 eV per atom
- Total DFT energy (no corrections): -4.58 eV/atom